[1]
# Tm2Lu2In5Co2

An optimized crystal structure of Tm2Lu2In5Co2 (PBE, the Open Quantum Materials Database).

a b c (Å): 7.6522 3.4991 9.3367
angles (deg): 90.00 94.77 90.00
Space group P2/m (No. 10)
Unique sites:
Tm1 0.1790 0.0000 0.3380 [2 per cell]
Lu1 0.2050 0.0000 0.9401 [2 per cell]
In1 0.1618 0.5000 0.6460 [2 per cell]
In2 0.4529 0.5000 0.1673 [2 per cell]
In3 0.5000 0.5000 0.5000 [1 per cell]
Co1 0.0712 0.5000 0.1302 [2 per cell]

Properties
VASP energy (eV/cell): -50.081
Crystal system: monoclinic

***

[2]
# YCuAgS3

An optimized crystal structure of YCuAgS3 (PBE, the Open Quantum Materials Database).

a b c (Å): 3.8149 12.2237 10.3579
angles (deg): 90.00 90.00 90.00
Space group Cmcm (No. 63)
Unique sites:
Y1 0.0000 0.0000 0.0000 [4 per cell]
Cu1 0.0000 0.4771 0.2500 [4 per cell]
Ag1 0.0000 0.2234 0.7500 [4 per cell]
S1 0.0000 0.0897 0.2500 [4 per cell]
S2 0.0000 0.3563 0.0785 [8 per cell]

Properties
VASP energy (eV/cell): -120.763
Crystal system: orthorhombic

***

[3]
# FeCo2Sn

An optimized crystal structure of FeCo2Sn (PBE, the Open Quantum Materials Database).

a b c (Å): 5.9266 5.9266 5.9266
angles (deg): 90.00 90.00 90.00
Space group F-43m (No. 216)
Unique sites:
Fe1 0.0000 0.0000 0.0000 [4 per cell]
Co1 0.0000 0.0000 0.5000 [4 per cell]
Co2 0.2500 0.2500 0.7500 [4 per cell]
Sn1 0.2500 0.2500 0.2500 [4 per cell]

Properties
VASP energy (eV/cell): -104.036
Crystal system: cubic

***

[4]
# ThTlBi

An optimized crystal structure of ThTlBi (PBE, the Open Quantum Materials Database).

a b c (Å): 7.4378 7.4378 7.4378
angles (deg): 90.00 90.00 90.00
Space group F-43m (No. 216)
Unique sites:
Th1 0.0000 0.0000 0.0000 [4 per cell]
Tl1 0.2500 0.2500 0.7500 [4 per cell]
Bi1 0.0000 0.0000 0.5000 [4 per cell]

Properties
VASP energy (eV/cell): -52.901
Crystal system: cubic

***

[5]
# LuScBe2

An optimized crystal structure of LuScBe2 (PBE, the Open Quantum Materials Database).

a b c (Å): 6.5176 6.5176 6.5176
angles (deg): 90.00 90.00 90.00
Space group F-43m (No. 216)
Unique sites:
Lu1 0.0000 0.0000 0.0000 [4 per cell]
Sc1 0.2500 0.2500 0.7500 [4 per cell]
Be1 0.0000 0.0000 0.5000 [4 per cell]
Be2 0.2500 0.2500 0.2500 [4 per cell]

Properties
VASP energy (eV/cell): -65.284
Crystal system: cubic

***

[6]
# HfNbSnC

An optimized crystal structure of HfNbSnC (PBE, the Open Quantum Materials Database).

a b c (Å): 3.3088 3.3088 14.1674
angles (deg): 90.00 90.00 120.00
Space group P-3m1 (No. 164)
Unique sites:
Hf1 0.3333 0.6667 0.0872 [2 per cell]
Nb1 0.3333 0.6667 0.4196 [2 per cell]
Sn1 0.3333 0.6667 0.7425 [2 per cell]
C1 0.0000 0.0000 0.0000 [1 per cell]
C2 0.0000 0.0000 0.5000 [1 per cell]

Properties
Crystal system: trigonal
Excess energy over the best structure of this formula in the dataset (eV/atom): 0.000

***

[7]
# RbNbTc

An optimized crystal structure of RbNbTc (PBE, the Open Quantum Materials Database).

a b c (Å): 6.7976 6.7976 6.7976
angles (deg): 90.00 90.00 90.00
Space group F-43m (No. 216)
Unique sites:
Rb1 0.0000 0.0000 0.0000 [4 per cell]
Nb1 0.2500 0.2500 0.7500 [4 per cell]
Tc1 0.2500 0.2500 0.2500 [4 per cell]

Properties
Crystal system: cubic
Excess energy over the best structure of this formula in the dataset (eV/atom): 1.151

***

[8]
# Re2Cl7O3

An optimized crystal structure of Re2Cl7O3 (PBE, the Open Quantum Materials Database).

a b c (Å): 6.2414 10.9680 16.9741
angles (deg): 90.00 106.52 90.00
Space group P2_1/c (No. 14)
Unique sites:
Re1 0.0213 0.0847 0.1905 [4 per cell]
Re2 0.1662 0.1608 0.5320 [4 per cell]
Cl1 0.1070 0.7240 0.0794 [4 per cell]
Cl2 0.1705 0.5252 0.9459 [4 per cell]
Cl3 0.2050 0.5238 0.4351 [4 per cell]
Cl4 0.2454 0.7266 0.3054 [4 per cell]
Cl5 0.2761 0.2065 0.2819 [4 per cell]
Cl6 0.3189 0.5042 0.6576 [4 per cell]
Cl7 0.3685 0.0390 0.6346 [4 per cell]
O1 0.0334 0.0235 0.7471 [4 per cell]
O2 0.1012 0.2348 0.0991 [4 per cell]
O3 0.3861 0.2233 0.5049 [4 per cell]

Properties
VASP energy (eV/cell): -252.111
Crystal system: monoclinic